<w>
The following is a PBE calculation of a relaxed HfMg6Mo crystal, from Alexandria via LeMat-Bulk.

a = 6.348 Å, b = 6.348 Å, c = 4.900 Å
α = 90.00°, β = 90.00°, γ = 122.54°
Sites, in units of the cell vectors:
1 Mg 0.181 0.329 0.000
2 Mg 0.828 0.684 0.500
3 Mg 0.675 0.325 0.000
4 Hf 0.302 0.698 0.500
5 Mg 0.830 0.170 0.500
6 Mg 0.316 0.172 0.500
7 Mg 0.671 0.819 0.000
8 Mo 0.198 0.802 0.000

Results
The calculated density is 4.19 Mg/m³. The value obtained for the total magnetization is 0.0 μB/f.u.

=====

<x>
The following is a PBE calculation of a relaxed HfMg6Mo crystal, from Alexandria via LeMat-Bulk.

a = 6.332 Å, b = 6.332 Å, c = 5.044 Å
α = 90.00°, β = 90.00°, γ = 125.49°
Sites, in units of the cell vectors:
1 Mo 0.829 0.171 0.500
2 Hf 0.326 0.674 0.500
3 Mg 0.159 0.327 0.000
4 Mg 0.689 0.311 0.000
5 Mg 0.325 0.175 0.500
6 Mg 0.673 0.841 0.000
7 Mg 0.825 0.675 0.500
8 Mg 0.174 0.826 0.000

Results
The calculated density is 4.24 Mg/m³. The value obtained for the total magnetization is 0.0 μB/f.u.

=====

Which structure is the least stable? The one labeled <x>.

=====

<w>
The following is a PBE calculation of a relaxed Hf2MgMoS crystal, from Alexandria via LeMat-Bulk.

a = 4.920 Å, b = 5.172 Å, c = 4.920 Å
α = 90.00°, β = 90.00°, γ = 90.00°
Sites, in units of the cell vectors:
1 Hf 0.000 0.000 0.500
2 Hf 0.500 0.000 0.000
3 S 0.500 0.500 0.500
4 Mg 0.000 0.500 0.000
5 Mo 0.000 0.000 0.000

Results
The calculated density is 6.76 Mg/m³. The value obtained for the total magnetization is 0.0 μB/f.u.

=====

<x>
The following is a PBE calculation of a relaxed Hf2MgMoS crystal, from Alexandria via LeMat-Bulk.

a = 5.092 Å, b = 4.207 Å, c = 5.092 Å
α = 90.00°, β = 90.00°, γ = 90.00°
Sites, in units of the cell vectors:
1 Hf 0.500 0.000 0.000
2 Mo 0.500 0.500 0.500
3 S 0.000 0.500 0.000
4 Mg 0.000 0.000 0.000
5 Hf 0.000 0.000 0.500

Results
The calculated density is 7.75 Mg/m³. The value obtained for the total magnetization is 0.0 μB/f.u.

=====

Which structure is the least stable? The one labeled <x>.

=====

<w>
The following is a PBE calculation of a relaxed HfMgN crystal, from Alexandria via LeMat-Bulk.

a = 5.409 Å, b = 3.169 Å, c = 10.769 Å
α = 90.00°, β = 101.59°, γ = 90.00°
Sites, in units of the cell vectors:
1 Hf 0.221 0.500 0.177
2 N 0.319 0.000 0.053
3 Mg 0.947 0.000 0.911
4 Hf 0.221 0.000 0.677
5 Hf 0.443 0.000 0.437
6 N 0.094 0.000 0.300
7 Hf 0.443 0.500 0.937
8 N 0.094 0.500 0.800
9 Mg 0.947 0.500 0.411
10 N 0.319 0.500 0.553
11 Mg 0.718 0.500 0.676
12 Mg 0.718 0.000 0.176

Results
The calculated density is 7.96 Mg/m³. The value obtained for the total magnetization is 0.0 μB/f.u.

=====

<x>
The following is a PBE calculation of a relaxed HfMgN crystal, from Alexandria via LeMat-Bulk.

a = 3.262 Å, b = 6.328 Å, c = 4.433 Å
α = 90.00°, β = 90.00°, γ = 90.00°
Sites, in units of the cell vectors:
1 Hf 0.500 0.887 0.500
2 N 0.000 0.125 0.500
3 Mg 0.000 0.623 0.000
4 Mg 0.500 0.377 0.500
5 Hf 0.000 0.113 0.000
6 N 0.500 0.875 0.000

Results
The calculated density is 7.87 Mg/m³. The value obtained for the total magnetization is 0.0 μB/f.u.

=====

Which structure is the least stable? The one labeled <w>.